1.
LiNpP2 | Alexandria | GGA-PBE | relaxed; E above lowest polymorph = 4.17 kcal/mol of atoms; energy of formation = -0.511 eV per atom; crystal system = trigonal
1.0
3.9517 0.0000 0.0000
1.9759 3.4223 0.0000
1.9759 1.1408 5.6211
Li Np P
1 1 2
Direct
0.4902 0.4902 0.5295
0.6711 0.6711 0.9868
0.0993 0.0993 0.7022
0.2395 0.2395 0.2815

2.
PrGdZnSi | Alexandria | GGA-PBE | relaxed; energy relative to the elements, uncorrected = -0.43 eV per atom; crystal system = cubic
1.0
-1.7233 -0.0248 -4.8156
2.8804 -1.9749 -3.7368
-1.3502 -4.4104 -2.2103
Pr Zn Gd Si
1 1 1 1
Direct
0.7500 0.7500 0.7500
0.0000 0.0000 0.0000
0.2500 0.2500 0.2500
0.5000 0.5000 0.5000

3.
VSiTc | Alexandria | GGA-PBE | relaxed; energy relative to the elements, uncorrected = -0.40 eV per atom; E above lowest polymorph = 2.83 kcal/mol of atoms; crystal system = monoclinic
1.0
-2.8841 3.4250 -2.2580
-3.2977 -1.1860 2.4132
4.6424 1.8680 7.2619
Si Tc V
4 4 4
Direct
0.2463 0.0000 0.1695
0.7537 0.0000 0.8305
0.2463 0.5000 0.6695
0.7537 0.5000 0.3305
0.2567 0.0000 0.8309
0.7433 0.0000 0.1691
0.2567 0.5000 0.3309
0.7433 0.5000 0.6691
0.7501 0.0000 0.5055
0.2499 0.0000 0.4945
0.7501 0.5000 0.0055
0.2499 0.5000 0.9945

4.
LiReBr2 | Alexandria | GGA-PBE | relaxed; energy relative to the elements, uncorrected = 0.33 eV per atom; E above lowest polymorph = 4.42 kcal/mol of atoms; crystal system = monoclinic
1.0
-1.3633 1.0934 -3.6627
0.2152 -2.9965 -0.9746
-5.9625 0.1654 2.2688
Br Li Re
2 1 1
Direct
0.0000 0.8389 0.9962
0.0000 0.6611 0.5038
0.5000 0.2500 0.2500
0.5000 0.7500 0.7500

5.
NdSm4Co4 | Alexandria | GGA-PBE | relaxed; energy of formation = 0.014 eV per atom; crystal system = tetragonal
1.0
-5.0667 2.5123 -0.8101
-2.0675 -6.0189 -5.7350
-3.3755 -4.7929 6.2471
Nd Sm Co
2 8 8
Direct
0.0000 0.0000 0.0000
0.5000 0.5000 0.5000
0.3825 0.3101 0.9249
0.8825 0.5751 0.8101
0.3825 0.6899 0.0751
0.1175 0.1899 0.5751
0.6175 0.9249 0.6899
0.1175 0.8101 0.4249
0.8825 0.4249 0.1899
0.6175 0.0751 0.3101
0.6388 0.7650 0.3607
0.6388 0.2350 0.6393
0.1388 0.8607 0.7350
0.8612 0.2650 0.8607
0.8612 0.7350 0.1393
0.3612 0.3607 0.2350
0.3612 0.6393 0.7650
0.1388 0.1393 0.2650

6.
ZrTiPd2 | Alexandria | GGA-PBE | relaxed; E above lowest polymorph = 1.23 kcal/mol of atoms; energy of formation = -0.514 eV per atom; crystal system = trigonal
1.0
4.4708 0.0000 0.0000
2.2354 3.8718 0.0000
2.2354 1.2906 4.1208
Zr Pd Ti
1 2 1
Direct
0.0000 0.0000 0.0000
0.7725 0.7725 0.6825
0.2275 0.2275 0.3175
0.5000 0.5000 0.5000

7.
TmPdPt3 | Alexandria | GGA-PBE | relaxed; E above lowest polymorph = 0.00 kcal/mol of atoms; energy of formation = -0.575 eV per atom; crystal system = orthorhombic
1.0
-0.0751 3.5609 2.5320
1.2889 -3.6655 5.1932
6.2697 0.8248 -0.9739
Tm Pd Pt
2 2 6
Direct
0.5000 0.0000 0.2480
0.0000 0.5000 0.7520
0.0000 0.0000 0.5447
0.5000 0.5000 0.4553
0.0000 0.6998 0.2456
0.5000 0.8002 0.7544
0.5000 0.1998 0.7544
0.0000 0.3002 0.2456
0.0000 0.0000 0.9526
0.5000 0.5000 0.0474

8.
La5Ho2Mg | Alexandria | GGA-PBE | relaxed; energy of formation = -0.003 eV per atom; crystal system = orthorhombic
1.0
-4.4317 -3.9639 4.0920
7.0067 -1.7203 -0.2062
-2.0209 6.0935 3.2988
La Ho Mg
5 2 1
Direct
0.2763 0.2776 0.4988
0.2799 0.7784 0.0015
0.7787 0.2774 0.0013
0.7770 0.7784 0.4984
0.2775 0.2754 0.9980
0.2779 0.7786 0.5006
0.7781 0.2810 0.5029
0.7777 0.7763 0.9986

9.
CrNiSn2 | Alexandria | GGA-PBE | relaxed; E above lowest polymorph = 0.00 kcal/mol of atoms; energy of formation = 0.353 eV per atom; crystal system = cubic
1.0
0.0000 3.2122 3.2122
3.2122 0.0000 3.2122
3.2122 3.2122 0.0000
Ni Sn Cr
1 2 1
Direct
0.5000 0.5000 0.5000
0.2500 0.2500 0.2500
0.7500 0.7500 0.7500
0.0000 0.0000 0.0000

10.
LaRu | Alexandria | GGA-PBE | relaxed; energy of formation = 0.218 eV per atom; crystal system = hexagonal
1.0
3.6174 0.0000 0.0000
-1.8087 3.1328 0.0000
0.0000 0.0000 8.2744
La Ru
2 2
Direct
0.0000 0.0000 0.0000
0.0000 0.0000 0.5000
0.3333 0.6667 0.2500
0.6667 0.3333 0.7500

11.
B2As2O | Alexandria | GGA-PBE | relaxed; energy relative to the elements, uncorrected = 0.56 eV per atom; E above lowest polymorph = 4.26 kcal/mol of atoms; crystal system = tetragonal
1.0
-2.6759 0.7414 1.1118
0.6010 -1.5549 2.4834
1.4829 4.7566 4.4206
As B O
2 2 1
Direct
0.3829 0.3829 0.2343
0.6171 0.6171 0.7657
0.7500 0.2500 0.5000
0.2500 0.7500 0.5000
0.0000 0.0000 0.0000

12.
YTlZnO4 | Alexandria | GGA-PBE | relaxed; energy relative to the elements, uncorrected = -1.80 eV per atom; crystal system = orthorhombic
1.0
-1.8058 -4.7485 -4.0937
-1.2349 -6.0453 2.3579
-6.2320 -2.1874 0.0873
Y Tl Zn O
2 2 2 8
Direct
0.0000 0.0000 0.0000
0.0000 0.5000 0.5000
0.5000 0.0000 0.5000
0.0000 0.0000 0.5000
0.6194 0.6306 0.1306
0.3806 0.3694 0.8694
0.7522 0.7518 0.7439
0.2478 0.7561 0.7482
0.7522 0.2439 0.2518
0.2478 0.2482 0.2561
0.2388 0.7483 0.2483
0.7645 0.7483 0.2483
0.2355 0.2517 0.7517
0.7612 0.2517 0.7517